First-principles (GGA-PBEsol) data for an optimized crystal structure of BaRe2Pt, as listed in Alexandria via LeMat-Bulk.

Summary:
**Energy of formation**: 27.59 kcal/mol of atoms
**Density of states at the Fermi level**: 1.02 states/eV per atom
**Offset from the most stable computed form**: 806.4 meV per atom
**SG**: F-43m

a b c (Å): 4.721 4.721 4.721
angles (deg): 60.00 60.00 60.00
Atoms (fractional coordinates):
1 Ba 0.000 0.000 0.000
2 Re 0.250 0.250 0.250
3 Re 0.500 0.500 0.500
4 Pt 0.750 0.750 0.750

***

First-principles (GGA-PBEsol) data for an optimized crystal structure of BaRePt2, as listed in Alexandria via LeMat-Bulk.

Summary:
**Energy of formation**: 13.51 kcal/mol of atoms
**Density of states at the Fermi level**: 0.94 states/eV per atom
**Offset from the most stable computed form**: 440.9 meV per atom
**SG**: Immm

a b c (Å): 5.515 5.515 5.515
angles (deg): 140.06 117.86 76.47
Atoms (fractional coordinates):
1 Ba 0.000 0.000 0.000
2 Re 0.500 0.500 0.000
3 Pt 0.315 0.815 0.500
4 Pt 0.685 0.185 0.500

***

First-principles (GGA-PBEsol) data for an optimized crystal structure of BaRePt3, as listed in Alexandria via LeMat-Bulk.

Summary:
**Energy of formation**: 65.29 kcal/mol of atoms
**Density of states at the Fermi level**: 0.96 states/eV per atom
**SG**: Pm-3m

a b c (Å): 5.139 5.139 5.139
angles (deg): 90.00 90.00 90.00
Atoms (fractional coordinates):
1 Ba 0.000 0.000 0.000
2 Re 0.500 0.500 0.500
3 Pt 0.000 0.000 0.500
4 Pt 0.000 0.500 0.000
5 Pt 0.500 0.000 0.000

***

First-principles (GGA-PBEsol) data for an optimized crystal structure of BaPt2Rh, as listed in Alexandria via LeMat-Bulk.

Summary:
**Energy of formation**: 5.03 kcal/mol of atoms
**Density of states at the Fermi level**: 1.07 states/eV per atom
**SG**: Cmmm

a b c (Å): 5.164 5.164 3.007
angles (deg): 90.00 90.00 110.28
Atoms (fractional coordinates):
1 Ba 0.000 0.000 0.000
2 Pt 0.000 0.500 0.500
3 Pt 0.500 0.000 0.500
4 Rh 0.500 0.500 0.000

***

First-principles (GGA-PBEsol) data for an optimized crystal structure of BaPtRh2, as listed in Alexandria via LeMat-Bulk.

Summary:
**Energy of formation**: 9.28 kcal/mol of atoms
**Density of states at the Fermi level**: 1.05 states/eV per atom
**Offset from the most stable computed form**: 523.3 meV per atom
**SG**: Cmmm

a b c (Å): 5.035 5.035 2.982
angles (deg): 90.00 90.00 106.30
Atoms (fractional coordinates):
1 Ba 0.000 0.000 0.000
2 Pt 0.500 0.500 0.000
3 Rh 0.000 0.500 0.500
4 Rh 0.500 0.000 0.500

***

First-principles (GGA-PBEsol) data for an optimized crystal structure of BaPtRh2, as listed in Alexandria via LeMat-Bulk.

Summary:
**Energy of formation**: 8.84 kcal/mol of atoms
**Density of states at the Fermi level**: 0.93 states/eV per atom
**Offset from the most stable computed form**: 504.3 meV per atom
**SG**: P4/mmm

a b c (Å): 4.266 4.266 4.059
angles (deg): 90.00 90.00 90.00
Atoms (fractional coordinates):
1 Ba 0.000 0.000 0.000
2 Pt 0.500 0.500 0.000
3 Rh 0.000 0.500 0.500
4 Rh 0.500 0.000 0.500

***

First-principles (GGA-PBEsol) data for an optimized crystal structure of BaPtRh2, as listed in Alexandria via LeMat-Bulk.

Summary:
**Energy of formation**: 10.85 kcal/mol of atoms
**Density of states at the Fermi level**: 1.30 states/eV per atom
**Offset from the most stable computed form**: 591.7 meV per atom
**SG**: C2/m

a b c (Å): 5.661 5.661 2.933
angles (deg): 103.78 103.78 117.62
Atoms (fractional coordinates):
1 Ba 0.000 0.000 0.000
2 Pt 0.500 0.500 0.000
3 Rh 0.000 0.500 0.500
4 Rh 0.500 0.000 0.500

***

First-principles (GGA-PBEsol) data for an optimized crystal structure of BaPt2Rh, as listed in Alexandria via LeMat-Bulk.

Summary:
**Energy of formation**: 6.24 kcal/mol of atoms
**Density of states at the Fermi level**: 1.58 states/eV per atom
**SG**: Immm

a b c (Å): 5.354 5.354 5.354
angles (deg): 138.96 128.82 67.60
Atoms (fractional coordinates):
1 Ba 0.000 0.000 0.000
2 Pt 0.275 0.775 0.500
3 Pt 0.725 0.225 0.500
4 Rh 0.500 0.500 0.000

***

Number 1: final energy -7.748 eV/atom. Number 2: final energy -6.766 eV/atom. Number 3: final energy -4.443 eV/atom. Number 4: final energy -5.835 eV/atom. Number 5: final energy -5.945 eV/atom. Number 6: final energy -5.964 eV/atom. Number 7: final energy -5.877 eV/atom. Number 8: final energy -5.783 eV/atom.